## Fe2CoNi (SCAN)

Data for a PBEsol-optimized structure of Fe2CoNi.

Cell and atoms, written as extended XYZ:
```
4
Lattice="2.482 0.000 0.000 0.000 3.470 0.000 0.000 0.000 4.995" Properties=species:S:1:pos:R:3 pbc="T T T"
Fe 0.000 0.000 3.740
Fe 0.000 0.000 1.255
Co 1.241 1.735 2.498
Ni 1.241 1.735 0.000
```

Results
DOS at the Fermi energy	3.11	states/eV/f.u.
excess energy over the best structure of this formula in the dataset	4.58	kJ/mol of atoms
E	-1.286	Ry per atom


## CoSiPb (SCAN)

Data for a PBEsol-optimized structure of CoSiPb.

Cell and atoms, written as extended XYZ:
```
3
Lattice="-1.411 2.660 -0.190 -2.403 -1.175 1.396 4.091 0.776 4.437" Properties=species:S:1:pos:R:3 pbc="T T T"
Si 1.679 1.168 3.874
Pb -1.233 1.211 2.157
Co 0.109 2.144 5.254
```

Results
DOS at the Fermi energy	1.35	states/eV/f.u.
excess energy over the best structure of this formula in the dataset	0.00	kJ/mol of atoms
E	-2.500	Ry per atom
raw formation energy	0.352	eV/atom


## TaCl (SCAN)

Data for a PBEsol-optimized structure of TaCl.

Cell and atoms, written as extended XYZ:
```
4
Lattice="3.603 0.000 0.000 0.000 3.603 0.000 -1.801 -1.801 4.953" Properties=species:S:1:pos:R:3 pbc="T T T"
Ta 1.801 1.801 0.000
Ta 1.801 0.000 2.476
Cl 0.000 1.801 2.476
Cl 0.000 0.000 0.000
```

Results
DOS at the Fermi energy	1.27	states/eV/f.u.
E	-2.686	Ry per atom
raw formation energy	0.742	eV/atom


## LiHg3Cl (SCAN)

Data for a PBEsol-optimized structure of LiHg3Cl.

Cell and atoms, written as extended XYZ:
```
5
Lattice="5.048 0.000 0.000 0.000 5.048 0.000 0.000 0.000 5.048" Properties=species:S:1:pos:R:3 pbc="T T T"
Cl 2.524 2.524 2.524
Hg 0.000 2.524 0.000
Hg 0.000 0.000 2.524
Hg 2.524 0.000 0.000
Li 0.000 0.000 0.000
```

Results
DOS at the Fermi energy	3.13	states/eV/f.u.
E	-3.179	Ry per atom
raw formation energy	-0.286	eV/atom


## Ba2Ag (SCAN)

Data for a PBEsol-optimized structure of Ba2Ag.

Cell and atoms, written as extended XYZ:
```
24
Lattice="11.055 0.000 0.000 5.527 9.574 0.000 5.527 3.191 9.026" Properties=species:S:1:pos:R:3 pbc="T T T"
Ba 5.527 3.191 5.641
Ba 14.507 8.376 8.463
Ba 8.291 1.596 1.128
Ba 5.527 6.382 1.128
Ba 16.582 11.969 8.463
Ba 13.129 7.580 2.819
Ba 2.764 1.596 1.128
Ba 11.055 8.778 6.207
Ba 18.656 8.376 8.463
Ba 16.582 7.178 5.076
Ba 13.129 5.185 6.207
Ba 14.507 10.771 5.076
Ba 18.656 10.771 5.076
Ba 8.980 7.580 2.819
Ba 11.055 3.987 2.819
Ba 8.980 5.185 6.207
Ag 7.689 4.439 3.139
Ag 14.420 4.439 3.139
Ag 16.582 9.574 2.648
Ag 16.582 5.688 8.143
Ag 13.217 11.517 8.143
Ag 11.055 6.382 8.635
Ag 11.055 10.268 3.139
Ag 19.947 11.517 8.143
```

Results
DOS at the Fermi energy	2.61	states/eV/f.u.
excess energy over the best structure of this formula in the dataset	6.95	kJ/mol of atoms
E	-2.714	Ry per atom


## SrLiNi (SCAN)

Data for a PBEsol-optimized structure of SrLiNi.

Cell and atoms, written as extended XYZ:
```
3
Lattice="-3.960 0.833 -0.849 -1.225 -3.258 2.517 0.472 3.934 1.657" Properties=species:S:1:pos:R:3 pbc="T T T"
Sr -1.978 -0.583 1.948
Li -3.297 0.693 -0.707
Ni -3.397 2.232 1.236
```

Results
DOS at the Fermi energy	1.61	states/eV/f.u.
E	-0.984	Ry per atom


## AlAu (SCAN)

Data for a PBEsol-optimized structure of AlAu.

Cell and atoms, written as extended XYZ:
```
2
Lattice="-1.005 -2.674 -1.379 -0.867 -1.136 2.832 -2.882 1.274 -0.371" Properties=species:S:1:pos:R:3 pbc="T T T"
Al 0.000 0.000 0.000
Au -2.376 -1.268 0.541
```

Results
DOS at the Fermi energy	0.57	states/eV/f.u.
E	-2.859	Ry per atom


## Sn3F8 (SCAN)

Data for a PBEsol-optimized structure of Sn3F8.

Cell and atoms, written as extended XYZ:
```
22
Lattice="5.234 0.000 -0.022 0.000 5.335 0.000 -0.156 0.000 12.257" Properties=species:S:1:pos:R:3 pbc="T T T"
F 1.448 1.048 11.759
F 3.431 0.592 2.991
F 3.631 4.286 0.476
F 1.647 4.743 9.244
F 4.305 0.171 10.401
F 0.753 3.652 11.660
F 3.312 2.838 7.951
F 4.143 1.619 5.619
F 3.448 4.350 5.520
F 0.936 3.716 6.616
F 4.342 3.259 3.105
F 1.630 0.985 6.715
F 1.766 2.497 4.284
F 4.325 1.682 0.575
F 0.773 5.164 1.834
F 0.736 2.076 9.130
Sn 0.000 0.000 0.000
Sn 0.030 0.255 8.154
Sn 2.353 2.922 10.220
Sn 2.725 2.412 2.015
Sn 5.048 5.080 4.081
Sn 2.539 2.667 6.118
```

Results
DOS at the Fermi energy	0.00	states/eV/f.u.
E	-1.090	Ry per atom
raw formation energy	-2.465	eV/atom


## Y3Rh (SCAN)

Data for a PBEsol-optimized structure of Y3Rh.

Cell and atoms, written as extended XYZ:
```
4
Lattice="4.564 0.000 0.000 0.000 4.564 0.000 0.000 0.000 4.564" Properties=species:S:1:pos:R:3 pbc="T T T"
Rh 0.000 0.000 0.000
Y 2.282 0.000 2.282
Y 2.282 2.282 0.000
Y 0.000 2.282 2.282
```

Results
DOS at the Fermi energy	4.56	states/eV/f.u.
E	-2.167	Ry per atom


## Cs2KHfBr (SCAN)

Data for a PBEsol-optimized structure of Cs2KHfBr.

Cell and atoms, written as extended XYZ:
```
5
Lattice="-2.035 4.435 -4.573 -6.108 0.215 2.927 2.088 5.067 3.985" Properties=species:S:1:pos:R:3 pbc="T T T"
Cs -3.054 0.108 1.463
Cs 1.044 2.534 1.992
Hf 0.000 0.000 0.000
K -1.018 2.217 -2.286
Br -3.027 4.859 1.169
```

Results
DOS at the Fermi energy	6.20	states/eV/f.u.
E	-2.400	Ry per atom
raw formation energy	0.561	eV/atom


## TlSi2Se (SCAN)

Data for a PBEsol-optimized structure of TlSi2Se.

Cell and atoms, written as extended XYZ:
```
4
Lattice="-1.491 1.018 2.771 -2.934 -4.352 1.994 2.154 -2.995 4.233" Properties=species:S:1:pos:R:3 pbc="T T T"
Si -0.602 -1.177 2.082
Si -0.781 -7.338 6.224
Tl -1.141 -3.096 4.471
Se -1.663 -5.228 6.948
```

Results
DOS at the Fermi energy	1.78	states/eV/f.u.
excess energy over the best structure of this formula in the dataset	26.49	kJ/mol of atoms
E	-2.031	Ry per atom
raw formation energy	0.483	eV/atom


## LiMg2Cr (SCAN)

Data for a PBEsol-optimized structure of LiMg2Cr.

Cell and atoms, written as extended XYZ:
```
4
Lattice="3.160 0.000 0.000 0.000 4.823 0.000 0.000 0.000 4.823" Properties=species:S:1:pos:R:3 pbc="T T T"
Mg 0.000 2.411 0.000
Mg 0.000 0.000 2.411
Li 1.580 0.000 0.000
Cr 1.580 2.411 2.411
```

Results
DOS at the Fermi energy	2.04	states/eV/f.u.
E	-0.557	Ry per atom


Look up the E of the twelfth one. -0.557 Ry per atom


Copy entry 1 word for word.
## Fe2CoNi (SCAN)

Data for a PBEsol-optimized structure of Fe2CoNi.

Cell and atoms, written as extended XYZ:
```
4
Lattice="2.482 0.000 0.000 0.000 3.470 0.000 0.000 0.000 4.995" Properties=species:S:1:pos:R:3 pbc="T T T"
Fe 0.000 0.000 3.740
Fe 0.000 0.000 1.255
Co 1.241 1.735 2.498
Ni 1.241 1.735 0.000
```

Results
DOS at the Fermi energy	3.11	states/eV/f.u.
excess energy over the best structure of this formula in the dataset	4.58	kJ/mol of atoms
E	-1.286	Ry per atom